Record 1
VASP calculation (PBE-GGA) on crystalline Dy2MnI8 at its relaxed geometry.

Properties
For the energy relative to the elements, uncorrected, the calculation gives -1099 meV per atom. The value obtained for the total moment is 5.000 μB per cell. As for the symmetry: C2/m.

Lattice parameters (Å, degrees): 11.056 11.056 11.163 92.92 92.92 21.25
Fractional coordinates of all 11 atoms:
Dy1 0.150 0.150 0.256
Dy2 0.850 0.850 0.744
Mn1 0.500 0.500 0.000
I1 0.002 0.002 0.819
I2 0.243 0.243 0.707
I3 0.365 0.365 0.960
I4 0.403 0.403 0.572
I5 0.597 0.597 0.428
I6 0.635 0.635 0.040
I7 0.757 0.757 0.293
I8 0.998 0.998 0.181

=====

Record 2
VASP calculation (PBE-GGA) on crystalline DyMn3I9 at its relaxed geometry.

Properties
For the energy relative to the elements, uncorrected, the calculation gives -671 meV per atom. The value obtained for the total moment is 30.000 μB per cell. As for the symmetry: Cc.

Lattice parameters (Å, degrees): 11.432 11.432 14.651 123.63 123.63 54.11
Fractional coordinates of all 26 atoms:
Dy1 0.226 0.774 0.500
Dy2 0.774 0.226 0.000
Mn1 0.205 0.335 0.788
Mn2 0.335 0.205 0.288
Mn3 0.568 0.710 0.334
Mn4 0.710 0.568 0.834
Mn5 0.742 0.984 0.175
Mn6 0.984 0.742 0.675
I1 0.015 0.497 0.913
I2 0.081 0.914 0.681
I3 0.108 0.173 0.077
I4 0.173 0.108 0.577
I5 0.222 0.476 0.447
I6 0.243 0.541 0.780
I7 0.322 0.695 0.307
I8 0.476 0.222 0.947
I9 0.497 0.015 0.413
I10 0.541 0.243 0.280
I11 0.565 0.635 0.636
I12 0.568 0.832 0.981
I13 0.635 0.565 0.136
I14 0.695 0.322 0.807
I15 0.806 0.915 0.809
I16 0.832 0.568 0.481
I17 0.914 0.081 0.181
I18 0.915 0.806 0.309

=====

Record 3
VASP calculation (PBE-GGA) on crystalline DyMn2I8 at its relaxed geometry.

Properties
For the energy relative to the elements, uncorrected, the calculation gives -706 meV per atom. The value obtained for the total moment is 8.992 μB per cell. As for the symmetry: C2/m.

Lattice parameters (Å, degrees): 8.809 8.809 7.149 97.01 97.01 91.77
Fractional coordinates of all 11 atoms:
Dy1 0.000 0.000 0.000
Mn1 0.212 0.212 0.666
Mn2 0.788 0.788 0.334
I1 0.063 0.727 0.216
I2 0.217 0.217 0.294
I3 0.273 0.937 0.784
I4 0.425 0.425 0.785
I5 0.575 0.575 0.215
I6 0.727 0.063 0.216
I7 0.783 0.783 0.706
I8 0.937 0.273 0.784

=====

Record 4
VASP calculation (PBE-GGA) on crystalline Dy7MnI12 at its relaxed geometry.

Properties
For the energy relative to the elements, uncorrected, the calculation gives -1126 meV per atom. The value obtained for the total moment is 2.070 μB per cell. As for the symmetry: R-3.

Lattice parameters (Å, degrees): 9.772 9.772 9.772 107.07 107.07 107.07
Fractional coordinates of all 20 atoms:
Dy1 0.000 0.000 0.000
Dy2 0.211 0.408 0.478
Dy3 0.408 0.478 0.211
Dy4 0.478 0.211 0.408
Dy5 0.522 0.789 0.592
Dy6 0.592 0.522 0.789
Dy7 0.789 0.592 0.522
Mn1 0.500 0.500 0.500
I1 0.038 0.340 0.115
I2 0.115 0.038 0.340
I3 0.182 0.725 0.573
I4 0.275 0.427 0.818
I5 0.340 0.115 0.038
I6 0.427 0.818 0.275
I7 0.573 0.182 0.725
I8 0.660 0.885 0.962
I9 0.725 0.573 0.182
I10 0.818 0.275 0.427
I11 0.885 0.962 0.660
I12 0.962 0.660 0.885

=====

Record 5
VASP calculation (PBE-GGA) on crystalline RbDyMnI6 at its relaxed geometry.

Properties
For the energy relative to the elements, uncorrected, the calculation gives -1094 meV per atom. The value obtained for the total moment is 10.000 μB per cell. As for the symmetry: P-31c.

Lattice parameters (Å, degrees): 7.725 7.725 16.499 90.00 90.00 120.00
Fractional coordinates of all 18 atoms:
Rb1 0.000 0.000 0.000
Rb2 0.000 0.000 0.500
Dy1 0.333 0.667 0.250
Dy2 0.667 0.333 0.750
Mn1 0.333 0.667 0.750
Mn2 0.667 0.333 0.250
I1 0.011 0.377 0.646
I2 0.011 0.634 0.854
I3 0.366 0.377 0.854
I4 0.366 0.989 0.646
I5 0.377 0.011 0.146
I6 0.377 0.366 0.354
I7 0.623 0.634 0.646
I8 0.623 0.989 0.854
I9 0.634 0.011 0.354
I10 0.634 0.623 0.146
I11 0.989 0.366 0.146
I12 0.989 0.623 0.354

=====

Record 6
VASP calculation (PBE-GGA) on crystalline Dy7I12N at its relaxed geometry.

Properties
For the energy relative to the elements, uncorrected, the calculation gives -1268 meV per atom. The value obtained for the total moment is 0.000 μB per cell. As for the symmetry: R-3.

Lattice parameters (Å, degrees): 9.572 9.572 9.572 108.07 108.07 108.07
Fractional coordinates of all 20 atoms:
Dy1 0.000 0.000 0.000
Dy2 0.219 0.405 0.469
Dy3 0.405 0.469 0.219
Dy4 0.469 0.219 0.405
Dy5 0.531 0.781 0.595
Dy6 0.595 0.531 0.781
Dy7 0.781 0.595 0.531
I1 0.035 0.351 0.115
I2 0.115 0.035 0.351
I3 0.192 0.726 0.579
I4 0.274 0.421 0.808
I5 0.351 0.115 0.035
I6 0.421 0.808 0.274
I7 0.579 0.192 0.726
I8 0.649 0.885 0.965
I9 0.726 0.579 0.192
I10 0.808 0.274 0.421
I11 0.885 0.965 0.649
I12 0.965 0.649 0.885
N1 0.500 0.500 0.500

=====

Record 7
VASP calculation (PBE-GGA) on crystalline Dy4I2N at its relaxed geometry.

Properties
For the energy relative to the elements, uncorrected, the calculation gives -511 meV per atom. The value obtained for the total moment is 0.000 μB per cell. As for the symmetry: I4/mmm.

Lattice parameters (Å, degrees): 10.243 10.243 10.243 154.11 154.11 36.94
Fractional coordinates of all 7 atoms:
Dy1 0.000 0.500 0.500
Dy2 0.136 0.136 0.000
Dy3 0.500 0.000 0.500
Dy4 0.864 0.864 0.000
I1 0.304 0.304 0.000
I2 0.696 0.696 0.000
N1 0.000 0.000 0.000

=====

Record 8
VASP calculation (PBE-GGA) on crystalline DyI3N at its relaxed geometry.

Properties
For the energy relative to the elements, uncorrected, the calculation gives -96 meV per atom. The value obtained for the total moment is 5.935 μB per cell. As for the symmetry: P-1.

Lattice parameters (Å, degrees): 7.706 7.706 9.631 66.58 89.86 60.02
Fractional coordinates of all 10 atoms:
Dy1 0.167 0.166 0.001
Dy2 0.833 0.834 0.999
I1 0.073 0.636 0.793
I2 0.208 0.722 0.207
I3 0.432 0.995 0.793
I4 0.568 0.005 0.207
I5 0.792 0.278 0.793
I6 0.927 0.364 0.207
N1 0.344 0.816 0.521
N2 0.656 0.184 0.479

=====

Record 9
VASP calculation (PBE-GGA) on crystalline Nd2DyI2N2 at its relaxed geometry.

Properties
For the energy relative to the elements, uncorrected, the calculation gives -1227 meV per atom. The value obtained for the total moment is 0.992 μB per cell. As for the symmetry: I4/mmm.

Lattice parameters (Å, degrees): 10.279 10.279 10.279 154.71 154.71 36.07
Fractional coordinates of all 7 atoms:
Nd1 0.076 0.076 0.000
Nd2 0.924 0.924 0.000
Dy1 0.500 0.500 0.000
I1 0.337 0.337 0.000
I2 0.663 0.663 0.000
N1 0.000 0.500 0.500
N2 0.500 0.000 0.500

=====

Record 10
VASP calculation (PBE-GGA) on crystalline PmDyIN at its relaxed geometry.

Properties
For the energy relative to the elements, uncorrected, the calculation gives -1214 meV per atom. The value obtained for the total moment is 0.000 μB per cell. As for the symmetry: R3m.

Lattice parameters (Å, degrees): 7.783 7.783 7.783 27.71 27.71 27.71
Fractional coordinates of all 4 atoms:
Pm1 0.000 0.000 0.000
Dy1 0.781 0.781 0.781
I1 0.222 0.222 0.222
N1 0.402 0.402 0.402

=====

Record 11
VASP calculation (PBE-GGA) on crystalline Na5Dy3I12 at its relaxed geometry.

Properties
For the energy relative to the elements, uncorrected, the calculation gives -1024 meV per atom. The value obtained for the total moment is 7.726 μB per cell. As for the symmetry: Ia-3d.

Lattice parameters (Å, degrees): 15.916 15.916 15.916 109.47 109.47 109.47
Fractional coordinates of all 80 atoms:
Na1 0.000 0.000 0.000
Na2 0.000 0.000 0.500
Na3 0.000 0.500 0.000
Na4 0.000 0.500 0.500
Na5 0.125 0.750 0.875
Na6 0.125 0.875 0.250
Na7 0.250 0.125 0.875
Na8 0.250 0.625 0.375
Na9 0.375 0.250 0.625
Na10 0.375 0.625 0.750
Na11 0.500 0.000 0.000
Na12 0.500 0.000 0.500
Na13 0.500 0.500 0.000
Na14 0.500 0.500 0.500
Na15 0.625 0.375 0.250
Na16 0.625 0.750 0.375
Na17 0.750 0.375 0.625
Na18 0.750 0.875 0.125
Na19 0.875 0.125 0.750
Na20 0.875 0.250 0.125
Dy1 0.125 0.250 0.375
Dy2 0.125 0.375 0.750
Dy3 0.250 0.375 0.125
Dy4 0.250 0.875 0.625
Dy5 0.375 0.125 0.250
Dy6 0.375 0.750 0.125
Dy7 0.625 0.250 0.875
Dy8 0.625 0.875 0.750
Dy9 0.750 0.125 0.375
Dy10 0.750 0.625 0.875
Dy11 0.875 0.625 0.250
Dy12 0.875 0.750 0.625
I1 0.052 0.227 0.130
I2 0.052 0.325 0.921
I3 0.079 0.630 0.404
I4 0.079 0.948 0.675
I5 0.096 0.727 0.675
I6 0.096 0.870 0.421
I7 0.130 0.052 0.227
I8 0.130 0.579 0.904
I9 0.175 0.227 0.596
I10 0.175 0.448 0.579
I11 0.227 0.130 0.052
I12 0.227 0.596 0.175
I13 0.273 0.325 0.904
I14 0.273 0.448 0.370
I15 0.325 0.904 0.273
I16 0.325 0.921 0.052
I17 0.370 0.273 0.448
I18 0.370 0.596 0.921
I19 0.404 0.079 0.630
I20 0.404 0.825 0.773
I21 0.421 0.096 0.870
I22 0.421 0.825 0.552
I23 0.448 0.370 0.273
I24 0.448 0.579 0.175
I25 0.552 0.421 0.825
I26 0.552 0.630 0.727
I27 0.579 0.175 0.448
I28 0.579 0.904 0.130
I29 0.596 0.175 0.227
I30 0.596 0.921 0.370
I31 0.630 0.404 0.079
I32 0.630 0.727 0.552
I33 0.675 0.079 0.948
I34 0.675 0.096 0.727
I35 0.727 0.552 0.630
I36 0.727 0.675 0.096
I37 0.773 0.404 0.825
I38 0.773 0.870 0.948
I39 0.825 0.552 0.421
I40 0.825 0.773 0.404
I41 0.870 0.421 0.096
I42 0.870 0.948 0.773
I43 0.904 0.130 0.579
I44 0.904 0.273 0.325
I45 0.921 0.052 0.325
I46 0.921 0.370 0.596
I47 0.948 0.675 0.079
I48 0.948 0.773 0.870

=====

Record 12
VASP calculation (PBE-GGA) on crystalline NaDy2I6 at its relaxed geometry.

Properties
For the energy relative to the elements, uncorrected, the calculation gives -1256 meV per atom. The value obtained for the total moment is 0.004 μB per cell. As for the symmetry: P-31m.

Lattice parameters (Å, degrees): 7.552 7.552 7.592 90.00 90.00 120.00
Fractional coordinates of all 9 atoms:
Na1 0.000 0.000 0.000
Dy1 0.333 0.667 0.500
Dy2 0.667 0.333 0.500
I1 0.000 0.346 0.739
I2 0.000 0.654 0.261
I3 0.346 0.000 0.739
I4 0.346 0.346 0.261
I5 0.654 0.000 0.261
I6 0.654 0.654 0.739